--- one ---
Computed, not measured: an optimized crystal structure of CaAsRuBr2 at the GGA-PBEsol level of DFT.

Calculated values
Density (Mg/m³): 5.1
Crystal system: tetragonal
Space-group type: No. 123

a = 4.645 Å, b = 5.127 Å, c = 5.127 Å
α = 90.00°, β = 90.00°, γ = 90.00°
Fractional coordinates of all 5 atoms:
Ru: 0.000 0.000 0.000
As: 0.500 0.000 0.000
Ca: 0.500 0.500 0.500
Br: 0.000 0.000 0.500
Br: 0.000 0.500 0.000

=====

--- two ---
Computed, not measured: an optimized crystal structure of CaAsRuBr2 at the GGA-PBEsol level of DFT.

Calculated values
Density (Mg/m³): 4.0
Crystal system: tetragonal
Space-group type: No. 123

a = 5.228 Å, b = 5.228 Å, c = 5.734 Å
α = 90.00°, β = 90.00°, γ = 90.00°
Last column: magnetic moment on the atom in μB.
Fractional coordinates of all 5 atoms:
Ru: 0.500 0.500 0.500  2.86
As: 0.000 0.000 0.500  0.33
Ca: 0.000 0.000 0.000  0.01
Br: 0.000 0.500 0.000  0.09
Br: 0.500 0.000 0.000  0.09

=====

Most stable = one